Computed, not measured: an optimized crystal structure of In2SbAs2 at the PBE-GGA level of DFT.

Structure (CIF):
```
data_In2SbAs2
_space_group_name_H-M_alt 'P 1'
_space_group_IT_number 1
_cell_length_a 8.0137
_cell_length_b 8.0137
_cell_length_c 3.8246
_cell_angle_alpha 90.00
_cell_angle_beta 90.00
_cell_angle_gamma 90.00
loop_
_space_group_symop_operation_xyz
'x,y,z'
loop_
_atom_site_label
_atom_site_fract_x
_atom_site_fract_y
_atom_site_fract_z
In1 0.1433 0.6433 0.5000
In2 0.3567 0.1433 0.5000
In3 0.6433 0.8567 0.5000
In4 0.8567 0.3567 0.5000
Sb1 0.5000 0.5000 0.0000
Sb2 0.0000 0.0000 0.0000
As1 0.1649 0.3351 0.0000
As2 0.6649 0.1649 0.0000
As3 0.8351 0.6649 0.0000
As4 0.3351 0.8351 0.0000
```

Properties
mass density	6.78	g cm⁻³
ΔE to the lowest computed polymorph	0.0	meV per atom
D(E_F)	0.551	states/eV per atom
VASP energy	-0.1352	Ha/atom
crystal system	tetragonal
formation energy from raw total energies	0.101	eV per atom
volume	24.56	Å³ per atom

***

Computed, not measured: an optimized crystal structure of InSbAs2 at the PBE-GGA level of DFT.

Structure (CIF):
```
data_InSbAs2
_space_group_name_H-M_alt 'P 1'
_space_group_IT_number 1
_cell_length_a 5.9414
_cell_length_b 5.9414
_cell_length_c 5.9414
_cell_angle_alpha 143.26
_cell_angle_beta 130.35
_cell_angle_gamma 63.34
loop_
_space_group_symop_operation_xyz
'x,y,z'
loop_
_atom_site_label
_atom_site_fract_x
_atom_site_fract_y
_atom_site_fract_z
In1 0.7500 0.2500 0.5000
Sb1 0.2500 0.7500 0.5000
As1 0.0261 0.0261 0.0000
As2 0.4739 0.4739 0.0000
```

Properties
mass density	6.79	g cm⁻³
ΔE to the lowest computed polymorph	316.5	meV per atom
D(E_F)	0.597	states/eV per atom
VASP energy	-0.1380	Ha/atom
crystal system	orthorhombic
formation energy from raw total energies	0.285	eV per atom
volume	23.62	Å³ per atom

***

Computed, not measured: an optimized crystal structure of InSbAs2 at the PBE-GGA level of DFT.

Structure (CIF):
```
data_InSbAs2
_space_group_name_H-M_alt 'P 1'
_space_group_IT_number 1
_cell_length_a 4.1076
_cell_length_b 4.1076
_cell_length_c 7.0818
_cell_angle_alpha 72.86
_cell_angle_beta 72.86
_cell_angle_gamma 60.20
loop_
_space_group_symop_operation_xyz
'x,y,z'
loop_
_atom_site_label
_atom_site_fract_x
_atom_site_fract_y
_atom_site_fract_z
Sb1 0.2500 0.2500 0.2500
As1 0.4994 0.4994 0.5008
As2 0.0006 0.0006 0.9992
In1 0.7500 0.7500 0.7500
```

Properties
mass density	6.58	g cm⁻³
ΔE to the lowest computed polymorph	26.9	meV per atom
D(E_F)	0.412	states/eV per atom
VASP energy	-0.1486	Ha/atom
crystal system	monoclinic
formation energy from raw total energies	-0.005	eV per atom
volume	24.37	Å³ per atom

***

Computed, not measured: an optimized crystal structure of InSbAs2 at the PBE-GGA level of DFT.

Structure (CIF):
```
data_InSbAs2
_space_group_name_H-M_alt 'P 1'
_space_group_IT_number 1
_cell_length_a 10.6604
_cell_length_b 10.6604
_cell_length_c 10.6604
_cell_angle_alpha 17.28
_cell_angle_beta 17.28
_cell_angle_gamma 17.28
loop_
_space_group_symop_operation_xyz
'x,y,z'
loop_
_atom_site_label
_atom_site_fract_x
_atom_site_fract_y
_atom_site_fract_z
In1 0.2500 0.2500 0.2500
As1 0.5008 0.5008 0.5008
As2 0.9992 0.9992 0.9992
Sb1 0.7500 0.7500 0.7500
```

Properties
mass density	6.88	g cm⁻³
ΔE to the lowest computed polymorph	383.1	meV per atom
D(E_F)	0.328	states/eV per atom
VASP energy	-0.1356	Ha/atom
crystal system	trigonal
formation energy from raw total energies	0.351	eV per atom
volume	23.32	Å³ per atom

***

Computed, not measured: an optimized crystal structure of In2SbAs at the PBE-GGA level of DFT.

Structure (CIF):
```
data_In2SbAs
_space_group_name_H-M_alt 'P 1'
_space_group_IT_number 1
_cell_length_a 5.4181
_cell_length_b 5.4181
_cell_length_c 5.4181
_cell_angle_alpha 125.68
_cell_angle_beta 125.68
_cell_angle_gamma 80.42
loop_
_space_group_symop_operation_xyz
'x,y,z'
loop_
_atom_site_label
_atom_site_fract_x
_atom_site_fract_y
_atom_site_fract_z
As1 0.7500 0.2500 0.5000
In1 0.0000 0.0000 0.0000
In2 0.2500 0.7500 0.5000
Sb1 0.5000 0.5000 0.0000
```

Properties
mass density	6.99	g cm⁻³
ΔE to the lowest computed polymorph	340.4	meV per atom
D(E_F)	0.531	states/eV per atom
VASP energy	-0.1247	Ha/atom
crystal system	tetragonal
formation energy from raw total energies	0.169	eV per atom
volume	25.31	Å³ per atom

***

Computed, not measured: an optimized crystal structure of In2Sb2As at the PBE-GGA level of DFT.

Structure (CIF):
```
data_In2Sb2As
_space_group_name_H-M_alt 'P 1'
_space_group_IT_number 1
_cell_length_a 7.8117
_cell_length_b 7.8117
_cell_length_c 4.6156
_cell_angle_alpha 90.00
_cell_angle_beta 90.00
_cell_angle_gamma 90.00
loop_
_space_group_symop_operation_xyz
'x,y,z'
loop_
_atom_site_label
_atom_site_fract_x
_atom_site_fract_y
_atom_site_fract_z
Sb1 0.3708 0.1292 0.5000
Sb2 0.1292 0.6292 0.5000
Sb3 0.6292 0.8708 0.5000
Sb4 0.8708 0.3708 0.5000
In1 0.1718 0.3282 0.0000
In2 0.8282 0.6718 0.0000
In3 0.3282 0.8282 0.0000
In4 0.6718 0.1718 0.0000
As1 0.0000 0.0000 0.0000
As2 0.5000 0.5000 0.0000
```

Properties
mass density	6.46	g cm⁻³
ΔE to the lowest computed polymorph	91.7	meV per atom
D(E_F)	0.529	states/eV per atom
VASP energy	-0.1250	Ha/atom
crystal system	tetragonal
formation energy from raw total energies	0.272	eV per atom
volume	28.17	Å³ per atom

***

Computed, not measured: an optimized crystal structure of InSb2As at the PBE-GGA level of DFT.

Structure (CIF):
```
data_InSb2As
_space_group_name_H-M_alt 'P 1'
_space_group_IT_number 1
_cell_length_a 6.0274
_cell_length_b 6.0274
_cell_length_c 5.6215
_cell_angle_alpha 69.22
_cell_angle_beta 69.22
_cell_angle_gamma 36.15
loop_
_space_group_symop_operation_xyz
'x,y,z'
loop_
_atom_site_label
_atom_site_fract_x
_atom_site_fract_y
_atom_site_fract_z
Sb1 0.7653 0.7653 0.7299
Sb2 0.0187 0.0187 0.9202
As1 0.4838 0.4838 0.5885
In1 0.2322 0.2322 0.2614
```

Properties
mass density	6.44	g cm⁻³
ΔE to the lowest computed polymorph	124.9	meV per atom
D(E_F)	0.487	states/eV per atom
VASP energy	-0.1379	Ha/atom
crystal system	monoclinic
formation energy from raw total energies	0.155	eV per atom
volume	27.94	Å³ per atom

***

Computed, not measured: an optimized crystal structure of InSb2As at the PBE-GGA level of DFT.

Structure (CIF):
```
data_InSb2As
_space_group_name_H-M_alt 'P 1'
_space_group_IT_number 1
_cell_length_a 7.2908
_cell_length_b 7.2908
_cell_length_c 7.2908
_cell_angle_alpha 33.99
_cell_angle_beta 33.99
_cell_angle_gamma 33.99
loop_
_space_group_symop_operation_xyz
'x,y,z'
loop_
_atom_site_label
_atom_site_fract_x
_atom_site_fract_y
_atom_site_fract_z
Sb1 0.9953 0.9953 0.9953
Sb2 0.5047 0.5047 0.5047
In1 0.7500 0.7500 0.7500
As1 0.2500 0.2500 0.2500
```

Properties
mass density	6.66	g cm⁻³
ΔE to the lowest computed polymorph	52.0	meV per atom
D(E_F)	0.544	states/eV per atom
VASP energy	-0.1406	Ha/atom
crystal system	trigonal
formation energy from raw total energies	0.082	eV per atom
volume	26.99	Å³ per atom

***

Computed, not measured: an optimized crystal structure of In2SbAs at the PBE-GGA level of DFT.

Structure (CIF):
```
data_In2SbAs
_space_group_name_H-M_alt 'P 1'
_space_group_IT_number 1
_cell_length_a 5.6782
_cell_length_b 3.1409
_cell_length_c 6.6563
_cell_angle_alpha 61.19
_cell_angle_beta 90.00
_cell_angle_gamma 90.00
loop_
_space_group_symop_operation_xyz
'x,y,z'
loop_
_atom_site_label
_atom_site_fract_x
_atom_site_fract_y
_atom_site_fract_z
In1 0.0000 0.7383 0.9903
In2 0.0000 0.7617 0.5097
As1 0.5000 0.7500 0.7500
Sb1 0.5000 0.2500 0.2500
```

Properties
mass density	6.81	g cm⁻³
ΔE to the lowest computed polymorph	306.2	meV per atom
D(E_F)	0.649	states/eV per atom
VASP energy	-0.1260	Ha/atom
crystal system	monoclinic
formation energy from raw total energies	0.135	eV per atom
volume	26.00	Å³ per atom

***

Computed, not measured: an optimized crystal structure of In2SbAs at the PBE-GGA level of DFT.

Structure (CIF):
```
data_In2SbAs
_space_group_name_H-M_alt 'P 1'
_space_group_IT_number 1
_cell_length_a 3.9726
_cell_length_b 3.1037
_cell_length_c 8.7951
_cell_angle_alpha 100.20
_cell_angle_beta 90.00
_cell_angle_gamma 90.00
loop_
_space_group_symop_operation_xyz
'x,y,z'
loop_
_atom_site_label
_atom_site_fract_x
_atom_site_fract_y
_atom_site_fract_z
In1 0.0000 0.8102 0.9958
In2 0.5000 0.4324 0.2371
As1 0.5000 0.6861 0.7479
Sb1 0.0000 0.5713 0.5191
```

Properties
mass density	6.63	g cm⁻³
ΔE to the lowest computed polymorph	230.7	meV per atom
D(E_F)	0.331	states/eV per atom
VASP energy	-0.1287	Ha/atom
crystal system	monoclinic
formation energy from raw total energies	0.059	eV per atom
volume	26.68	Å³ per atom